[1]
Hf2AlPt6: relaxed, PBE-GGA.

Cell and atoms, written as POSCAR:
```
Hf2AlPt6
1.0
3.920 0.000 -0.153
0.000 7.060 0.000
-1.729 -3.530 6.152
Hf Al Pt
2 1 6
Cartesian
2.027 3.530 1.787
0.164 0.000 4.211
0.000 0.000 0.000
0.075 1.624 2.007
2.116 -1.906 3.992
2.116 1.906 3.992
1.960 1.566 -0.077
0.075 5.436 2.007
1.960 5.495 -0.077
```

Computed properties:
* E_form: -0.88 eV per atom

---

[2]
CoAsOs2: relaxed, PBE-GGA.

Cell and atoms, written as POSCAR:
```
CoAsOs2
1.0
-2.956 -0.154 -0.334
0.367 -1.448 -2.578
-0.061 -5.382 3.014
As Co Os
1 1 2
Cartesian
-1.310 -2.146 -0.702
-1.340 -4.837 0.805
0.000 -0.005 0.003
-0.030 -2.686 1.504
```

Computed properties:
* E_form: 0.44 eV per atom

---

[3]
LaDy3In2: relaxed, PBE-GGA.

Cell and atoms, written as POSCAR:
```
LaDy3In2
1.0
5.271 0.000 0.000
0.000 6.758 0.000
0.000 0.000 9.972
La Dy In
2 6 4
Cartesian
2.635 3.649 5.363
2.635 0.270 4.609
0.000 3.147 9.562
0.000 6.526 0.410
2.635 4.623 1.756
2.635 1.244 8.216
0.000 2.128 3.106
0.000 5.507 6.866
2.635 4.814 8.585
2.635 1.435 1.387
0.000 1.912 6.465
0.000 5.291 3.507
```

Computed properties:
* E_form: -0.35 eV per atom
* relative energy among the computed polymorphs: 0.000 eV per atom

---

[4]
Li2Pa2S5: relaxed, PBE-GGA.

Cell and atoms, written as POSCAR:
```
Li2Pa2S5
1.0
6.607 0.000 -2.061
-0.536 5.104 -1.720
-0.125 0.898 11.219
Li Pa S
4 4 10
Cartesian
0.176 0.000 -0.055
3.211 2.552 -1.945
0.198 2.747 4.679
3.448 3.255 3.477
4.006 0.412 2.114
1.432 5.590 5.483
0.299 4.247 1.852
5.138 1.755 5.746
0.892 2.083 9.016
1.553 3.919 -0.485
4.268 1.397 8.217
4.785 4.605 -1.747
1.480 1.864 2.527
5.726 4.138 4.518
4.676 2.893 1.150
2.531 3.109 5.895
6.366 0.700 3.512
2.578 5.302 2.991
```

Computed properties:
* relative energy among the computed polymorphs: 0.039 eV per atom
* uncorrected formation energy: -1.4038 eV per atom

---

[5]
La2CrTc: relaxed, PBE-GGA.

Cell and atoms, written as POSCAR:
```
La2CrTc
1.0
-1.299 0.040 3.668
2.229 -2.228 0.814
6.620 4.294 2.298
Cr La Tc
1 2 1
Cartesian
5.467 1.247 3.987
8.212 1.769 2.889
2.209 0.833 2.837
4.936 1.356 1.734
```

Computed properties:
* E_form: 0.30 eV per atom
* relative energy among the computed polymorphs: 0.055 eV per atom

---

[6]
YMn2Al2: relaxed, PBE-GGA.

Cell and atoms, written as POSCAR:
```
YMn2Al2
1.0
7.646 0.000 0.000
0.000 7.646 0.000
0.000 0.000 2.823
Y Mn Al
2 4 4
Cartesian
0.000 0.000 0.000
3.823 3.823 0.000
2.899 6.723 0.000
6.723 4.747 0.000
4.747 0.924 0.000
0.924 2.899 0.000
1.287 5.110 1.411
5.110 6.360 1.411
6.360 2.537 1.411
2.537 1.287 1.411
```

Computed properties:
* E_form: -0.11 eV per atom
* relative energy among the computed polymorphs: 0.020 eV per atom

---

[7]
AcEuH: relaxed, PBE-GGA.

Cell and atoms, written as POSCAR:
```
AcEuH
1.0
3.924 0.000 0.000
-1.962 3.398 0.000
0.000 0.000 6.367
Eu H Ac
1 1 1
Cartesian
0.000 0.000 5.740
0.000 2.266 4.262
1.962 1.133 2.731
```

Computed properties:
* relative energy among the computed polymorphs: 0.000 eV per atom

---

[8]
CrCdIn2: relaxed, PBE-GGA.

Cell and atoms, written as POSCAR:
```
CrCdIn2
1.0
9.614 -0.099 -0.058
9.078 3.167 -0.058
9.078 1.490 2.795
Cd Cr In
1 1 2
Cartesian
6.942 1.139 0.670
20.827 3.418 2.009
0.155 0.026 0.015
13.729 2.253 1.324
```

Computed properties:
* E_form: 0.29 eV per atom

---

[9]
Ga2AsRuW: relaxed, PBE-GGA.

Cell and atoms, written as POSCAR:
```
Ga2AsRuW
1.0
-2.942 1.604 3.255
-3.246 -2.930 -1.490
1.547 -3.236 2.993
Ru As Ga W
1 1 2 1
Cartesian
0.000 0.000 0.000
-1.623 -1.465 -0.745
0.774 -1.618 1.496
-1.471 0.802 1.627
-2.321 -2.281 2.379
```

Computed properties:
* E_form: 1.09 eV per atom

---

[10]
Ac2BrO: relaxed, PBE-GGA.

Cell and atoms, written as POSCAR:
```
Ac2BrO
1.0
3.902 0.000 0.000
1.951 3.380 0.000
1.951 1.127 7.908
Ac O Br
2 1 1
Cartesian
5.853 3.380 6.426
1.951 1.127 1.482
0.000 0.000 0.000
3.902 2.253 3.954
```

Computed properties:
* relative energy among the computed polymorphs: 0.000 eV per atom
* uncorrected formation energy: -1.8335 eV per atom

---

[11]
LiTl: relaxed, PBE-GGA.

Cell and atoms, written as POSCAR:
```
LiTl
1.0
-3.845 -1.089 4.309
1.002 -4.578 3.547
2.382 4.971 -2.039
Tl Li
2 2
Cartesian
-2.630 -0.254 3.665
2.168 -0.442 2.153
-0.223 -2.032 3.330
-0.239 1.336 2.488
```

Computed properties:
* E_form: -0.17 eV per atom

---

[12]
LaMg2Mo: relaxed, PBE-GGA.

Cell and atoms, written as POSCAR:
```
LaMg2Mo
1.0
4.167 0.000 0.000
0.000 4.167 0.000
2.084 2.084 11.177
Mo Mg La
2 4 2
Cartesian
2.084 2.084 0.000
2.084 4.167 5.589
2.995 1.042 2.794
1.172 3.125 2.794
3.125 3.256 8.383
5.209 5.079 8.383
0.000 0.000 0.000
4.167 2.084 5.589
```

Computed properties:
* E_form: 0.69 eV per atom
* relative energy among the computed polymorphs: 0.391 eV per atom

---

[13]
AsP2: relaxed, PBE-GGA.

Cell and atoms, written as POSCAR:
```
AsP2
1.0
3.840 0.000 0.000
0.000 4.997 0.000
0.000 0.000 6.170
As P
2 4
Cartesian
0.000 0.000 0.000
1.920 2.499 3.085
0.000 0.853 3.713
0.000 4.145 2.457
1.920 3.352 5.541
1.920 1.646 0.628
```

Computed properties:
* E_form: 0.23 eV per atom
* relative energy among the computed polymorphs: 0.116 eV per atom

---

[14]
La2CdBRu: relaxed, PBE-GGA.

Cell and atoms, written as POSCAR:
```
La2CdBRu
1.0
-4.354 2.812 1.772
-3.304 -3.349 -2.804
-0.263 -2.432 3.214
Ru B Cd La
1 1 1 2
Cartesian
-0.131 -1.216 1.607
0.000 0.000 0.000
-3.960 -1.485 1.091
-1.652 -1.675 -1.402
-2.177 1.406 0.886
```

Computed properties:
* E_form: -0.20 eV per atom

---

[15]
Ho3Zn2Pd5: relaxed, PBE-GGA.

Cell and atoms, written as POSCAR:
```
Ho3Zn2Pd5
1.0
3.875 0.000 0.000
0.000 9.829 0.000
0.000 0.000 9.829
Ho Zn Pd
6 4 10
Cartesian
0.000 3.194 8.109
0.000 6.635 1.720
0.000 1.720 3.194
0.000 8.109 6.635
0.000 0.000 0.000
0.000 4.915 4.915
0.000 1.179 6.093
0.000 8.650 3.736
0.000 3.736 1.179
0.000 6.093 8.650
1.938 2.076 0.695
1.938 7.753 9.134
1.938 9.134 2.076
1.938 0.695 7.753
1.938 2.839 5.610
1.938 6.990 4.220
1.938 5.610 6.990
1.938 4.220 2.839
1.938 0.000 4.915
1.938 4.915 0.000
```

Computed properties:
* E_form: -0.79 eV per atom

---

[16]
La6CeSm2Ho: relaxed, PBE-GGA.

Cell and atoms, written as POSCAR:
```
La6CeSm2Ho
1.0
-4.625 1.778 -8.685
-5.946 -2.739 2.606
3.001 5.390 2.986
La Ce Sm Ho
6 1 2 1
Cartesian
-4.944 0.650 -1.071
0.473 3.496 0.536
-5.411 2.146 -4.783
-2.159 2.283 1.690
-8.044 0.934 -3.629
-2.627 3.779 -2.022
-2.973 -1.369 1.303
-0.883 0.795 -1.179
-6.688 3.635 -1.914
-2.312 0.889 -4.342
```

Computed properties:
* E_form: 0.20 eV per atom

---

[17]
AgHI: relaxed, PBE-GGA.

Cell and atoms, written as POSCAR:
```
AgHI
1.0
-3.911 -1.504 -1.780
-1.148 -4.398 0.386
-3.724 -0.631 9.117
Ag H I
2 2 2
Cartesian
-4.915 -3.399 0.416
-5.137 -5.502 2.711
-7.226 -4.658 6.256
-6.554 -4.874 5.995
-2.339 -1.325 4.709
-2.653 -1.677 -0.187
```

Computed properties:
* relative energy among the computed polymorphs: 0.000 eV per atom

---

[18]
B2PPt6: relaxed, PBE-GGA.

Cell and atoms, written as POSCAR:
```
B2PPt6
1.0
-1.914 -2.182 4.678
2.097 -6.895 -1.007
6.328 -1.153 3.402
B P Pt
4 2 12
Cartesian
5.832 -5.994 2.946
2.028 -2.614 2.196
0.680 -4.237 4.127
4.484 -7.616 4.877
5.137 -2.666 3.829
1.375 -7.564 3.244
3.850 -6.642 3.192
2.683 -3.766 0.567
2.662 -3.588 3.881
3.829 -6.464 6.506
2.513 -8.414 5.098
1.212 -5.389 2.408
3.998 -1.816 1.975
5.299 -4.841 4.665
7.503 -7.140 3.078
0.486 -1.293 2.198
-0.991 -3.090 3.995
6.026 -8.937 4.875
```

Computed properties:
* E_form: -0.11 eV per atom

---

[19]
AcSbPd3: relaxed, PBE-GGA.

Cell and atoms, written as POSCAR:
```
AcSbPd3
1.0
-2.744 1.326 -3.989
0.893 -4.471 -2.100
-4.108 -1.858 2.209
Sb Ac Pd
1 1 3
Cartesian
0.000 0.000 0.000
-2.980 -2.502 -1.940
0.446 -2.236 -1.050
-2.054 -0.929 1.104
-1.372 0.663 -1.995
```

Computed properties:
* relative energy among the computed polymorphs: 0.232 eV per atom
* uncorrected formation energy: -0.5025 eV per atom

---

[20]
SrIn2HPb: relaxed, PBE-GGA.

Cell and atoms, written as POSCAR:
```
SrIn2HPb
1.0
-0.225 4.823 1.174
-0.221 -1.184 4.821
4.960 0.166 0.268
Pb Sr H In
1 1 1 2
Cartesian
2.257 1.903 3.131
2.480 0.083 0.134
0.000 0.000 0.000
-0.110 -0.592 2.410
-0.113 2.412 0.587
```

---

[21]
AcInAgSb: relaxed, PBE-GGA.

Cell and atoms, written as POSCAR:
```
AcInAgSb
1.0
5.510 0.000 0.000
2.755 4.772 0.000
2.755 1.591 4.499
Sb Ac Ag In
1 1 1 1
Cartesian
8.265 4.772 3.374
0.000 0.000 0.000
2.755 1.591 1.125
5.510 3.181 2.249
```

Computed properties:
* uncorrected formation energy: -0.3294 eV per atom

---

[22]
Ca3Zn2Si3: relaxed, PBE-GGA.

Cell and atoms, written as POSCAR:
```
Ca3Zn2Si3
1.0
-1.222 -3.670 1.766
1.844 -0.819 -5.546
14.023 -2.264 4.996
Ca Zn Si
6 4 6
Cartesian
5.876 -4.642 -0.463
12.963 -2.788 3.174
1.681 -3.965 -1.957
8.769 -2.111 1.679
3.058 -2.753 1.514
11.586 -4.000 -0.297
12.655 -5.703 2.023
5.754 -1.658 0.535
8.891 -5.095 0.682
1.990 -1.050 -0.806
5.860 -3.268 2.383
14.325 -4.380 0.808
0.319 -2.373 0.408
8.784 -3.486 -1.166
4.201 -2.064 -1.382
10.443 -4.689 2.599
```

Computed properties:
* uncorrected formation energy: -0.4145 eV per atom

---

[23]
Al2FeNi: relaxed, PBE-GGA.

Cell and atoms, written as POSCAR:
```
Al2FeNi
1.0
-0.784 -0.088 -2.947
-0.938 -2.883 0.336
-5.062 1.797 1.293
Ni Fe Al
1 1 2
Cartesian
-4.702 -0.122 -0.325
-2.518 0.894 0.643
-4.901 1.740 1.252
-2.257 -0.990 -0.949
```

Computed properties:
* E_form: -0.24 eV per atom

---

[24]
Tb2Pr4Nd2Y: relaxed, PBE-GGA.

Cell and atoms, written as POSCAR:
```
Tb2Pr4Nd2Y
1.0
-1.790 -4.285 -2.313
-2.550 0.000 7.793
-5.247 4.520 -4.314
Tb Pr Nd Y
2 4 2 1
Cartesian
-2.295 -1.426 4.420
-7.291 1.661 -3.253
-6.322 -0.307 -0.357
-3.264 0.541 1.523
-3.012 -0.881 -1.857
-6.574 1.115 3.023
-5.302 -2.314 2.572
-4.284 2.548 -1.406
0.000 0.000 0.000
```

Computed properties:
* E_form: 0.02 eV per atom

---

[25]
MgGaGe: relaxed, PBE-GGA.

Cell and atoms, written as POSCAR:
```
MgGaGe
1.0
-1.713 -3.947 -1.404
-0.141 -3.537 2.821
-3.971 -1.447 1.618
Ge Mg Ga
1 1 1
Cartesian
-1.456 -2.233 0.759
-2.913 -4.465 1.518
0.000 0.000 0.000
```

Computed properties:
* E_form: -0.01 eV per atom
* relative energy among the computed polymorphs: 0.046 eV per atom

---

Result set for final energy: -7.54 -8.12 -4.38 -6.23 -7.16 -6.57 -6.09 -3.72 -5.49 -5.55 -2.31 -4.05 -4.93 -5.55 -5.01 -4.75 -2.75 -6.22 -5.26 -3.01 -3.78 -3.52 -5.67 -4.91 -3.09 eV/atom, one per record in the order listed.